Entry from Alexandria via LeMat-Bulk: a geometry-optimized MgCd2MoO6 structure (PBE+U).

Results
Calculated density ... 6.2 g/cm³
Final energy ... -5.62 eV per atom
Total magnetization ... 0.0 Bohr magnetons per cell

CIF file:
```
data_MgCd2MoO6
_cell_length_a 5.4325
_cell_length_b 5.5693
_cell_length_c 9.5322
_cell_angle_alpha 90.00
_cell_angle_beta 124.50
_cell_angle_gamma 90.00
_space_group_name_H-M_alt 'P 1 21/c 1'
_space_group_IT_number 14
_space_group_name_Hall '-P 2ybc'
loop_
_atom_site_label
_atom_site_type_symbol
_atom_site_fract_x
_atom_site_fract_y
_atom_site_fract_z
Mg1 Mg 0.0000 0.0000 0.0000
Cd1 Cd 0.2597 0.0436 0.7508
Mo1 Mo 0.5000 0.0000 0.5000
O1 O 0.1600 0.0395 0.2601
O2 O 0.2572 0.6905 0.0489
O3 O 0.3723 0.2095 0.0570
```